No. 1
Material: TbZnInGa
Method: DFT, GGA-PBE
State: relaxed

Cell lengths 4.949, 4.949, 4.949 Å; angles 60.00, 60.00, 60.00 degrees
Sites, in units of the cell vectors:
1 Tb 0.000 0.000 0.000
2 Zn 0.750 0.750 0.750
3 In 0.500 0.500 0.500
4 Ga 0.250 0.250 0.250

Computed properties:
Formation energy in eV/atom: -0.238
Volume in A^3/atom: 21.4
Magnetic moment in μB per atom: 0.00
E in eV per atom: -3.155



No. 2
Material: YInRuW2
Method: DFT, GGA-PBE
State: relaxed

Cell lengths 4.902, 4.902, 4.802 Å; angles 90.00, 90.00, 90.00 degrees
Sites, in units of the cell vectors:
1 Y 0.000 0.000 0.000
2 In 0.500 0.500 0.500
3 Ru 0.000 0.000 0.500
4 W 0.000 0.500 0.000
5 W 0.500 0.000 0.000

Computed properties:
Formation energy in eV/atom: 2.537
Volume in A^3/atom: 23.1
Magnetic moment in μB per atom: 0.00
E in eV per atom: -6.340



No. 3
Material: ErZrIn6
Method: DFT, GGA-PBE
State: relaxed

Cell lengths 4.560, 4.560, 9.142 Å; angles 90.00, 90.00, 90.00 degrees
Sites, in units of the cell vectors:
1 Er 0.000 0.000 0.000
2 Zr 0.000 0.000 0.500
3 In 0.000 0.500 0.255
4 In 0.000 0.500 0.745
5 In 0.500 0.000 0.255
6 In 0.500 0.000 0.745
7 In 0.500 0.500 0.000
8 In 0.500 0.500 0.500

Computed properties:
Formation energy in eV/atom: -0.281
Volume in A^3/atom: 23.8
Magnetic moment in μB per atom: 0.00
E in eV per atom: -3.974



No. 4
Material: Mg2ScNi
Method: DFT, GGA-PBE
State: relaxed

Cell lengths 4.660, 4.660, 4.660 Å; angles 60.00, 60.00, 60.00 degrees
Sites, in units of the cell vectors:
1 Mg 0.250 0.250 0.250
2 Mg 0.750 0.750 0.750
3 Sc 0.000 0.000 0.000
4 Ni 0.500 0.500 0.500

Computed properties:
Formation energy in eV/atom: -0.004
Volume in A^3/atom: 17.9
Magnetic moment in μB per atom: 0.00
E in eV per atom: -3.830



No. 5
Material: TcSbSe
Method: DFT, GGA-PBE
State: relaxed

Cell lengths 3.273, 3.273, 7.625 Å; angles 90.00, 90.00, 120.00 degrees
Sites, in units of the cell vectors:
1 Tc 0.000 0.000 0.000
2 Sb 0.667 0.333 0.276
3 Se 0.333 0.667 0.791

Computed properties:
Energy relative to the elements, uncorrected in kJ/mol of atoms: -9.7
Volume in A^3/atom: 23.6
Magnetic moment in μB per atom: 0.00
E in eV per atom: -6.092



No. 6
Material: YAg3Te
Method: DFT, GGA-PBE
State: relaxed

Cell lengths 5.447, 5.447, 5.447 Å; angles 90.00, 90.00, 90.00 degrees
Sites, in units of the cell vectors:
1 Y 0.000 0.000 0.000
2 Ag 0.000 0.000 0.500
3 Ag 0.000 0.500 0.000
4 Ag 0.500 0.000 0.000
5 Te 0.500 0.500 0.500

Computed properties:
Energy relative to the elements, uncorrected in kJ/mol of atoms: 87.6
Volume in A^3/atom: 32.3
Magnetic moment in μB per atom: 0.00
E in eV per atom: -2.724



No. 7
Material: Pa3Si2Ir
Method: DFT, GGA-PBE
State: relaxed

Cell lengths 11.936, 4.045, 10.304 Å; angles 90.00, 90.00, 90.00 degrees
Sites, in units of the cell vectors:
1 Pa 0.039 0.250 0.093
2 Pa 0.129 0.750 0.573
3 Pa 0.222 0.250 0.770
4 Pa 0.278 0.750 0.270
5 Pa 0.371 0.250 0.073
6 Pa 0.461 0.750 0.593
7 Pa 0.539 0.250 0.407
8 Pa 0.629 0.750 0.927
9 Pa 0.722 0.250 0.730
10 Pa 0.778 0.750 0.230
11 Pa 0.871 0.250 0.427
12 Pa 0.961 0.750 0.907
13 Si 0.015 0.750 0.297
14 Si 0.198 0.750 0.994
15 Si 0.302 0.250 0.494
16 Si 0.485 0.250 0.797
17 Si 0.515 0.750 0.203
18 Si 0.698 0.750 0.506
19 Si 0.802 0.250 0.006
20 Si 0.985 0.250 0.703
21 Ir 0.124 0.250 0.362
22 Ir 0.376 0.750 0.862
23 Ir 0.624 0.250 0.138
24 Ir 0.876 0.750 0.638

Computed properties:
Energy relative to the elements, uncorrected in kJ/mol of atoms: -60.5
Volume in A^3/atom: 20.7
Magnetic moment in μB per atom: 0.00
E in eV per atom: -8.660



No. 8
Material: ErHfTl
Method: DFT, GGA-PBE
State: relaxed

Cell lengths 5.082, 5.082, 3.474 Å; angles 90.00, 90.00, 120.00 degrees
Sites, in units of the cell vectors:
1 Er 0.000 0.000 0.000
2 Hf 0.667 0.333 0.500
3 Tl 0.333 0.667 0.500

Computed properties:
Formation energy in eV/atom: 0.107
Volume in A^3/atom: 25.9
Magnetic moment in μB per atom: 0.00
E in eV per atom: -5.521



Q: Which value of magnetic moment does entry 6 give?
A: 0.00 μB per atom